# 1
# CsRbAg2

A geometry-optimized CsRbAg2 structure (PBE-GGA, Alexandria).

Summary:
The calculation puts the formation energy at 96 meV/atom. Its theoretical density is 4.2 Mg/m³. The space-group type is Fm-3m, No. 225. Its polymorph energy (0 for the lowest one) is 59 meV/atom. The calculation puts the total magnetization at 0.00 μB per atom.

Unit cell a=6.2515 b=6.2515 c=6.2515 alpha=60.00 beta=60.00 gamma=60.00
Closest atoms and distances in Å follow each position.
Fractional positions:
Cs 0.5000 0.5000 0.5000  8 Ag 3.83
Rb 0.0000 0.0000 0.0000  8 Ag 3.83
Ag 0.2500 0.2500 0.2500  4 Cs 3.83, 4 Rb 3.83
Ag 0.7500 0.7500 0.7500  4 Cs 3.83, 4 Rb 3.83

=====

# 2
# CsRb3Ag2

A geometry-optimized CsRb3Ag2 structure (PBE-GGA, Alexandria).

Summary:
The calculation puts the formation energy at 24 meV/atom. Its theoretical density is 2.8 Mg/m³. The space-group type is C2/m, No. 12. The calculation puts the total magnetization at 0.00 μB per atom.

Unit cell a=5.0510 b=11.1985 c=13.4165 alpha=74.56 beta=79.15 gamma=76.97
Closest atoms and distances in Å follow each position.
Fractional positions:
Cs 0.8399 0.5733 0.7469  3 Ag 3.74-3.80
Cs 0.1601 0.4267 0.2531  3 Ag 3.74-3.80
Rb 0.1632 0.9287 0.7449  3 Ag 3.65-3.72
Rb 0.8368 0.0713 0.2551  3 Ag 3.65-3.72
Rb 0.4082 0.2332 0.9504  3 Ag 3.63-3.72
Rb 0.5918 0.7668 0.0496  3 Ag 3.63-3.72
Rb 0.5906 0.2586 0.5603  3 Ag 3.57-3.73
Rb 0.4094 0.7414 0.4397  3 Ag 3.57-3.73
Ag 0.2371 0.5610 0.9649  2 Ag 2.90
Ag 0.7629 0.4390 0.0351  2 Ag 2.90
Ag 0.7623 0.9393 0.5361  2 Ag 2.91
Ag 0.2377 0.0607 0.4639  2 Ag 2.91

=====

# 3
# CsRbAg3

A geometry-optimized CsRbAg3 structure (PBE-GGA, Alexandria).

Summary:
The calculation puts the formation energy at 593 meV/atom. Its theoretical density is 3.3 Mg/m³. The space-group type is Pm-3m, No. 221. Its polymorph energy (0 for the lowest one) is 503 meV/atom. The calculation puts the total magnetization at 0.00 μB per atom.

Unit cell a=6.5066 b=6.5066 c=6.5066 alpha=90.00 beta=90.00 gamma=90.00
Closest atoms and distances in Å follow each position.
Fractional positions:
Cs 0.5000 0.5000 0.5000  12 Ag 4.60
Rb 0.0000 0.0000 0.0000  6 Ag 3.25
Ag 0.0000 0.5000 0.0000  2 Rb 3.25
Ag 0.0000 0.0000 0.5000  2 Rb 3.25
Ag 0.5000 0.0000 0.0000  2 Rb 3.25